## La2ReTcAu (GGA-PBE)

Data for crystalline La2ReTcAu at its relaxed geometry.

Properties
DFT total energy   -6.230 eV per atom
Formation enthalpy at 0 K   959.4 meV per atom
Spin magnetization   3.47 Bohr magnetons per cell

abc: 5.3879 5.3879 5.0761
angles: 90.00 90.00 90.00
Space group P4/mmm (No. 123)
One atom of each set of equivalent atoms:
La (0.0000, 0.5000, 0.0000) [2 per cell]
Re (0.0000, 0.0000, 0.0000) [1 per cell]
Tc (0.5000, 0.5000, 0.5000) [1 per cell]
Au (0.0000, 0.0000, 0.5000) [1 per cell]